The following is a GGA+U calculation of RbMnCrO6 after structural relaxation, from Alexandria.

abc: 5.0747 6.1389 5.5691
angles: 91.33 89.95 65.53
Last column: nearest neighbours and their distance in Å.
Positions (direct):
Rb (0.0025, 0.9947, 0.0059)  8 O 3.00-3.16
Mn (0.2929, 0.4143, 0.5631)  1 O 1.61
Cr (0.7055, 0.5890, 0.4343)  1 O 1.61
O (0.0685, 0.3701, 0.3303)  1 Mn 1.81, 1 Cr 1.86
O (0.4059, 0.1885, 0.7355)  1 Mn 1.61
O (0.4292, 0.6293, 0.6704)  1 Mn 1.82, 1 Cr 1.86
O (0.9410, 0.6294, 0.6704)  1 Mn 1.82, 1 Cr 1.86
O (0.5617, 0.3703, 0.3302)  1 Mn 1.81, 1 Cr 1.86
O (0.5927, 0.8144, 0.2597)  1 Cr 1.61

The space group is No. 8. As for the raw total energy: -56.30 eV for the cell shown.